This record from the Alexandria database describes an optimized crystal structure of Sr2Co2RhO6. The functional is PBE with a Hubbard U.

Lattice parameters (Å, degrees): 5.8022 5.8022 6.1665 61.94 61.94 60.00
Element x y z (fractional)
1 Co 0.5794 0.5794 0.2617
2 O 0.7625 0.7625 0.2537
3 O 0.2375 0.7787 0.7463
4 Sr 0.2166 0.2166 0.3501
5 Rh 0.0000 0.0000 0.0000
6 O 0.7625 0.2213 0.2537
7 Sr 0.7834 0.7834 0.6499
8 O 0.2375 0.2375 0.7463
9 O 0.7787 0.2375 0.7463
10 Co 0.4206 0.4206 0.7383
11 O 0.2213 0.7625 0.2537

Calculated values
* size of the total moment: 0.265 μB per atom
* calculated density: 5.4 g cm⁻³
* E_tot: -0.2220 hartree per atom